## w
Entry from Alexandria: a relaxed ScTiAl crystal (PBE).

abc: 2.8361 4.7263 4.7263
angles: 120.00 90.00 90.00
Element x y z (fractional)
Sc 0.1661 0.0000 0.0000
Al 0.6664 0.6667 0.3333
Ti 0.1675 0.3333 0.6667

Fermi-level density of states   3.33 states/eV per cell
Space-group type   P-6m2, No. 187

=====

## x
Entry from Alexandria: a relaxed ScTiAl crystal (PBE).

abc: 4.7149 4.7149 5.8725
angles: 90.00 90.00 119.99
Element x y z (fractional)
Sc 0.0000 0.5000 0.0000
Sc 0.0000 0.5000 0.5000
Ti 0.6666 0.8334 0.7500
Ti 0.3334 0.1666 0.2500
Al 0.3332 0.1668 0.7500
Al 0.6668 0.8332 0.2500

Fermi-level density of states   5.83 states/eV per cell
Space-group type   P6_3/mmc, No. 194

=====

Which structure loses on stability? w does.

=====

## w
Entry from Alexandria: a relaxed ScTiAl crystal (PBE).

abc: 2.8910 4.4312 8.8033
angles: 89.99 99.44 90.00
Element x y z (fractional)
Sc 0.1998 0.2500 0.8988
Sc 0.8002 0.7500 0.1012
Ti 0.0389 0.2500 0.5775
Ti 0.9611 0.7500 0.4225
Al 0.3915 0.2500 0.2838
Al 0.6085 0.7500 0.7162

Fermi-level density of states   7.80 states/eV per cell
Space-group type   P2_1/m, No. 11

=====

## x
Entry from Alexandria: a relaxed ScTiAl crystal (PBE).

abc: 3.0515 3.0515 6.4138
angles: 103.76 103.76 90.00
Element x y z (fractional)
Sc 0.6176 0.6176 0.2351
Al 0.2908 0.2908 0.5816
Ti 0.9416 0.9416 0.8832

Fermi-level density of states   2.65 states/eV per cell
Space-group type   I4mm, No. 107

=====

## y
Entry from Alexandria: a relaxed ScTiAl crystal (PBE).

abc: 4.1475 7.0766 7.0766
angles: 120.00 90.00 90.00
Element x y z (fractional)
Al 0.5000 0.6667 0.3333
Al 0.5000 0.3333 0.6667
Al 0.0000 0.0000 0.0000
Sc 0.0000 0.5771 0.5771
Sc 0.0000 0.0000 0.4229
Sc 0.0000 0.4229 0.0000
Ti 0.5000 0.0000 0.7655
Ti 0.5000 0.7655 0.0000
Ti 0.5000 0.2345 0.2345

Fermi-level density of states   13.32 states/eV per cell
Space-group type   P-62m, No. 189

=====

Which structure loses on stability? y does.

=====

## w
Entry from Alexandria: a relaxed Sc2TiAl2 crystal (PBE).

abc: 3.6799 3.6799 8.4447
angles: 77.42 77.42 90.00
Element x y z (fractional)
Sc 0.4017 0.4017 0.1966
Sc 0.5983 0.5983 0.8034
Al 0.7500 0.2500 0.5000
Al 0.2500 0.7500 0.5000
Ti 0.0000 0.0000 0.0000

Fermi-level density of states   5.88 states/eV per cell
Space-group type   I4/mmm, No. 139

=====

## x
Entry from Alexandria: a relaxed Sc2TiAl2 crystal (PBE).

abc: 8.1458 8.1458 2.9991
angles: 90.00 90.00 90.00
Element x y z (fractional)
Sc 0.3754 0.8754 0.0000
Sc 0.8754 0.6246 0.0000
Sc 0.6246 0.1246 0.0000
Sc 0.1246 0.3754 0.0000
Al 0.1752 0.6752 0.5000
Al 0.6752 0.8248 0.5000
Al 0.8248 0.3248 0.5000
Al 0.3248 0.1752 0.5000
Ti 0.0000 0.0000 0.0000
Ti 0.5000 0.5000 0.0000

Fermi-level density of states   8.13 states/eV per cell
Space-group type   P4/mbm, No. 127

=====

Which structure loses on stability? w does.

=====

## w
Entry from Alexandria: a relaxed ScTi3Al crystal (PBE).

abc: 4.7793 4.7793 4.7793
angles: 90.00 90.00 90.00
Element x y z (fractional)
Sc 0.5000 0.5000 0.5000
Al 0.0000 0.0000 0.0000
Ti 0.0000 0.5000 0.0000
Ti 0.0000 0.0000 0.5000
Ti 0.5000 0.0000 0.0000

Fermi-level density of states   9.99 states/eV per cell
Space-group type   Pm-3m, No. 221

=====

## x
Entry from Alexandria: a relaxed ScTi3Al crystal (PBE).

abc: 4.6532 4.6532 4.6532
angles: 90.00 90.00 90.00
Element x y z (fractional)
Sc 0.0000 0.0000 0.0000
Al 0.5000 0.5000 0.5000
Ti 0.0000 0.5000 0.0000
Ti 0.0000 0.0000 0.5000
Ti 0.5000 0.0000 0.0000

Fermi-level density of states   10.05 states/eV per cell
Space-group type   Pm-3m, No. 221

=====

Which structure loses on stability? x does.

=====

## w
Entry from Alexandria: a relaxed Sc2Al2Tl crystal (PBE).

abc: 8.2037 8.2037 3.3249
angles: 90.00 90.00 90.00
Element x y z (fractional)
Sc 0.3224 0.8224 0.0000
Sc 0.8224 0.6776 0.0000
Sc 0.6776 0.1776 0.0000
Sc 0.1776 0.3224 0.0000
Tl 0.0000 0.0000 0.0000
Tl 0.5000 0.5000 0.0000
Al 0.1164 0.6164 0.5000
Al 0.6164 0.8836 0.5000
Al 0.8836 0.3836 0.5000
Al 0.3836 0.1164 0.5000

Fermi-level density of states   3.91 states/eV per cell
Space-group type   P4/mbm, No. 127

=====

## x
Entry from Alexandria: a relaxed Sc2Al2Tl crystal (PBE).

abc: 7.7990 7.7990 3.4218
angles: 90.00 90.00 90.00
Element x y z (fractional)
Sc 0.1788 0.6788 0.5000
Sc 0.6788 0.8212 0.5000
Sc 0.8212 0.3212 0.5000
Sc 0.3212 0.1788 0.5000
Tl 0.0000 0.0000 0.0000
Tl 0.5000 0.5000 0.0000
Al 0.3834 0.8834 0.0000
Al 0.8834 0.6166 0.0000
Al 0.6166 0.1166 0.0000
Al 0.1166 0.3834 0.0000

Fermi-level density of states   2.77 states/eV per cell
Space-group type   P4/mbm, No. 127

=====

## y
Entry from Alexandria: a relaxed Sc2Al2Tl crystal (PBE).

abc: 3.6475 3.6475 8.9434
angles: 78.23 78.23 90.00
Element x y z (fractional)
Sc 0.3909 0.3909 0.2182
Sc 0.6091 0.6091 0.7818
Tl 0.0000 0.0000 0.0000
Al 0.7500 0.2500 0.5000
Al 0.2500 0.7500 0.5000

Fermi-level density of states   7.99 states/eV per cell
Space-group type   I4/mmm, No. 139

=====

Which structure loses on stability? y does.

=====

## w
Entry from Alexandria: a relaxed Sc3AlTl crystal (PBE).

abc: 4.5697 4.5729 10.7972
angles: 90.00 77.78 90.00
Element x y z (fractional)
Sc 0.7691 0.2500 0.1102
Sc 0.3800 0.2500 0.8884
Sc 0.5742 0.2500 0.5000
Sc 0.2684 0.7500 0.1116
Sc 0.8793 0.7500 0.8898
Sc 0.0742 0.7500 0.5000
Al 0.6711 0.7500 0.3061
Al 0.9772 0.2500 0.6939
Tl 0.4765 0.7500 0.6954
Tl 0.1719 0.2500 0.3046

Fermi-level density of states   9.58 states/eV per cell
Space-group type   Cmcm, No. 63

=====

## x
Entry from Alexandria: a relaxed Sc3AlTl crystal (PBE).

abc: 5.1059 7.3707 7.3707
angles: 119.99 90.00 90.00
Element x y z (fractional)
Sc 0.2500 0.8082 0.1918
Sc 0.7500 0.1918 0.8082
Sc 0.2500 0.8082 0.6166
Sc 0.7500 0.1918 0.3834
Sc 0.2500 0.3834 0.1918
Sc 0.7500 0.6166 0.8082
Al 0.0000 0.0000 0.0000
Al 0.5000 0.0000 0.0000
Tl 0.2500 0.3334 0.6666
Tl 0.7500 0.6666 0.3334

Fermi-level density of states   9.59 states/eV per cell
Space-group type   P6_3/mmc, No. 194

=====

## y
Entry from Alexandria: a relaxed Sc3AlTl crystal (PBE).

abc: 5.3108 5.3108 5.3108
angles: 90.00 90.00 90.00
Element x y z (fractional)
Sc 0.0000 0.5000 0.0000
Sc 0.0000 0.0000 0.5000
Sc 0.5000 0.0000 0.0000
Tl 0.0000 0.0000 0.0000
Al 0.5000 0.5000 0.5000

Fermi-level density of states   7.68 states/eV per cell
Space-group type   Pm-3m, No. 221

=====

## z
Entry from Alexandria: a relaxed Sc3AlTl crystal (PBE).

abc: 5.1329 5.1329 5.1329
angles: 90.00 90.00 90.00
Element x y z (fractional)
Sc 0.0000 0.5000 0.0000
Sc 0.0000 0.0000 0.5000
Sc 0.5000 0.0000 0.0000
Tl 0.5000 0.5000 0.5000
Al 0.0000 0.0000 0.0000

Fermi-level density of states   8.55 states/eV per cell
Space-group type   Pm-3m, No. 221

=====

Which structure loses on stability? y does.

=====

## w
Entry from Alexandria: a relaxed ScAlTl3 crystal (PBE).

abc: 5.3013 5.3013 5.3013
angles: 90.00 90.00 90.00
Element x y z (fractional)
Sc 0.5000 0.5000 0.5000
Tl 0.0000 0.5000 0.0000
Tl 0.0000 0.0000 0.5000
Tl 0.5000 0.0000 0.0000
Al 0.0000 0.0000 0.0000

Fermi-level density of states   4.02 states/eV per cell
Space-group type   Pm-3m, No. 221

=====

## x
Entry from Alexandria: a relaxed ScAlTl3 crystal (PBE).

abc: 5.6373 5.6373 5.6373
angles: 90.00 90.00 90.00
Element x y z (fractional)
Sc 0.0000 0.0000 0.0000
Tl 0.0000 0.5000 0.0000
Tl 0.0000 0.0000 0.5000
Tl 0.5000 0.0000 0.0000
Al 0.5000 0.5000 0.5000

Fermi-level density of states   6.05 states/eV per cell
Space-group type   Pm-3m, No. 221

=====

Which structure loses on stability? x does.

=====

## w
Entry from Alexandria: a relaxed Sc8Al2Tl crystal (PBE).

abc: 4.8350 7.7505 7.8905
angles: 117.57 107.84 90.00
Element x y z (fractional)
Sc 0.5977 0.4629 0.1955
Sc 0.3154 0.0532 0.6308
Sc 0.1471 0.1973 0.2942
Sc 0.0611 0.7205 0.1223
Sc 0.8529 0.8027 0.7058
Sc 0.6846 0.9468 0.3692
Sc 0.4023 0.5371 0.8045
Sc 0.9389 0.2795 0.8777
Al 0.2228 0.6225 0.4456
Al 0.7772 0.3775 0.5544
Tl 0.5000 0.0000 0.0000

Fermi-level density of states   11.51 states/eV per cell
Space-group type   C2/m, No. 12

=====

## x
Entry from Alexandria: a relaxed Sc8Al2Tl crystal (PBE).

abc: 5.0956 7.8562 7.8562
angles: 117.21 101.63 101.63
Element x y z (fractional)
Sc 0.8731 0.9082 0.6677
Sc 0.8731 0.6677 0.9082
Sc 0.2965 0.5982 0.5982
Sc 0.5000 0.7795 0.2205
Sc 0.5000 0.2205 0.7795
Sc 0.7035 0.4018 0.4018
Sc 0.1269 0.3323 0.0918
Sc 0.1269 0.0918 0.3323
Al 0.0000 0.3052 0.6948
Al 0.0000 0.6948 0.3052
Tl 0.5000 0.0000 0.0000

Fermi-level density of states   14.58 states/eV per cell
Space-group type   C2/m, No. 12

=====

Which structure loses on stability? x does.